1.
A relaxed structure of CuW2Cl, computed with GGA-PBE.

Summary:
**VASP energy**: -6.72 eV/atom
**Distance to the lowest polymorph of the same formula**: 859 meV per atom
**Fermi-level density of states**: 7.44 states/eV/cell

Cell lengths 3.763, 3.763, 9.068 Å; angles 90.00, 90.00, 90.00 degrees
Space group I4/mmm (No. 139)
One atom of each set of equivalent atoms:
Cu: 0.000 0.000 0.000 (multiplicity 2)
W: 0.000 0.500 0.250 (multiplicity 4)
Cl: 0.000 0.000 0.500 (multiplicity 2)

2.
A relaxed structure of CuW4Cl, computed with GGA-PBE.

Summary:
**VASP energy**: -8.38 eV/atom
**Fermi-level density of states**: 24.57 states/eV/cell

Cell lengths 7.522, 7.522, 7.522 Å; angles 90.00, 90.00, 90.00 degrees
Space group F-43m (No. 216)
One atom of each set of equivalent atoms:
Cu: 0.000 0.000 0.000 (multiplicity 4)
W: 0.125 0.125 0.375 (multiplicity 16)
Cl: 0.250 0.250 0.750 (multiplicity 4)

3.
A relaxed structure of CuW2Cl, computed with GGA-PBE.

Summary:
**VASP energy**: -7.54 eV/atom
**Distance to the lowest polymorph of the same formula**: 38 meV per atom
**Fermi-level density of states**: 6.08 states/eV/cell

Cell lengths 3.214, 4.789, 8.404 Å; angles 90.00, 90.00, 90.00 degrees
Space group Cmm2 (No. 35)
One atom of each set of equivalent atoms:
Cu: 0.000 0.000 0.000 (multiplicity 2)
W: 0.000 0.000 0.487 (multiplicity 2)
W: 0.000 0.500 0.244 (multiplicity 2)
Cl: 0.000 0.500 0.746 (multiplicity 2)

4.
A relaxed structure of CuW2Cl, computed with GGA-PBE.

Summary:
**VASP energy**: -7.57 eV/atom
**Distance to the lowest polymorph of the same formula**: 10 meV per atom
**Fermi-level density of states**: 7.61 states/eV/cell

Cell lengths 2.8826, 2.8826, 27.1473 Å; angles 90.00, 90.00, 120.00 degrees
Space group R3m (No. 160, hexagonal axes)
One atom of each set of equivalent atoms:
Cu: 0.0000 0.0000 0.0000 (multiplicity 3)
W: 0.0000 0.0000 0.2568 (multiplicity 3)
W: 0.0000 0.0000 0.5029 (multiplicity 3)
Cl: 0.0000 0.0000 0.7669 (multiplicity 3)

5.
A relaxed structure of CuWCl, computed with GGA-PBE.

Summary:
**VASP energy**: -5.93 eV/atom
**Distance to the lowest polymorph of the same formula**: 0 meV per atom
**Fermi-level density of states**: 2.98 states/eV/cell

Cell lengths 2.9571, 2.9571, 6.4481 Å; angles 90.00, 90.00, 120.00 degrees
Space group P3m1 (No. 156)
One atom of each set of equivalent atoms:
Cu: 0.0000 0.0000 0.0000 (multiplicity 1)
W: 0.6667 0.3333 0.3094 (multiplicity 1)
Cl: 0.3333 0.6667 0.5955 (multiplicity 1)

6.
A relaxed structure of CuWCl2, computed with GGA-PBE.

Summary:
**VASP energy**: -4.41 eV/atom
**Distance to the lowest polymorph of the same formula**: 757 meV per atom
**Fermi-level density of states**: 3.31 states/eV/cell

Cell lengths 2.869, 4.175, 5.570 Å; angles 90.00, 90.00, 90.00 degrees
Space group Pmmm (No. 47)
One atom of each set of equivalent atoms:
Cu: 0.000 0.000 0.000 (multiplicity 1)
W: 0.500 0.000 0.500 (multiplicity 1)
Cl: 0.000 0.500 0.500 (multiplicity 1)
Cl: 0.500 0.500 0.000 (multiplicity 1)

7.
A relaxed structure of Cu2WCl, computed with GGA-PBE.

Summary:
**VASP energy**: -4.96 eV/atom
**Distance to the lowest polymorph of the same formula**: 493 meV per atom
**Fermi-level density of states**: 3.36 states/eV/cell

Cell lengths 2.757, 4.349, 4.855 Å; angles 90.00, 90.00, 90.00 degrees
Space group Pmmm (No. 47)
One atom of each set of equivalent atoms:
Cu: 0.000 0.000 0.000 (multiplicity 1)
Cu: 0.500 0.500 0.000 (multiplicity 1)
W: 0.000 0.500 0.500 (multiplicity 1)
Cl: 0.500 0.000 0.500 (multiplicity 1)

8.
A relaxed structure of CuW2Cl, computed with GGA-PBE.

Summary:
**VASP energy**: -7.13 eV/atom
**Distance to the lowest polymorph of the same formula**: 445 meV per atom
**Fermi-level density of states**: 6.32 states/eV/cell

Cell lengths 9.015, 2.810, 4.994 Å; angles 90.00, 103.34, 90.00 degrees
Space group C2/m (No. 12)
One atom of each set of equivalent atoms:
Cu: 0.000 0.000 0.000 (multiplicity 2)
W: 0.247 0.000 0.760 (multiplicity 4)
Cl: 0.000 0.500 0.500 (multiplicity 2)

9.
A relaxed structure of Cu2WCl, computed with GGA-PBE.

Summary:
**VASP energy**: -4.72 eV/atom
**Distance to the lowest polymorph of the same formula**: 734 meV per atom
**Fermi-level density of states**: 7.25 states/eV/cell

Cell lengths 3.544, 3.544, 9.169 Å; angles 90.00, 90.00, 90.00 degrees
Space group I4/mmm (No. 139)
One atom of each set of equivalent atoms:
Cu: 0.000 0.500 0.250 (multiplicity 4)
W: 0.000 0.000 0.000 (multiplicity 2)
Cl: 0.000 0.000 0.500 (multiplicity 2)

10.
A relaxed structure of CuWCl2, computed with GGA-PBE.

Summary:
**VASP energy**: -5.00 eV/atom
**Distance to the lowest polymorph of the same formula**: 161 meV per atom
**Fermi-level density of states**: 3.80 states/eV/cell

Cell lengths 3.069, 5.254, 9.290 Å; angles 90.00, 90.00, 90.00 degrees
Space group Cmm2 (No. 35)
One atom of each set of equivalent atoms:
Cu: 0.000 0.000 0.000 (multiplicity 2)
W: 0.000 0.500 0.775 (multiplicity 2)
Cl: 0.000 0.000 0.566 (multiplicity 2)
Cl: 0.000 0.500 0.183 (multiplicity 2)

11.
A relaxed structure of CuWCl2, computed with GGA-PBE.

Summary:
**VASP energy**: -4.72 eV/atom
**Distance to the lowest polymorph of the same formula**: 446 meV per atom
**Fermi-level density of states**: 2.02 states/eV/cell

Cell lengths 2.896, 4.163, 5.641 Å; angles 90.00, 101.82, 90.00 degrees
Space group P2/m (No. 10)
One atom of each set of equivalent atoms:
Cu: 0.000 0.000 0.000 (multiplicity 1)
W: 0.500 0.000 0.500 (multiplicity 1)
Cl: 0.375 0.500 0.253 (multiplicity 2)

12.
A relaxed structure of CuWCl2, computed with GGA-PBE.

Summary:
**VASP energy**: -4.25 eV/atom
**Distance to the lowest polymorph of the same formula**: 916 meV per atom
**Fermi-level density of states**: 12.98 states/eV/cell

Cell lengths 6.224, 6.224, 6.224 Å; angles 90.00, 90.00, 90.00 degrees
Space group Fm-3m (No. 225)
One atom of each set of equivalent atoms:
Cu: 0.000 0.000 0.000 (multiplicity 4)
W: 0.000 0.000 0.500 (multiplicity 4)
Cl: 0.250 0.250 0.250 (multiplicity 8)